[1]
Density functional theory data (PBE-GGA) for a relaxed structure of DyEr2C2.

a b c (Å): 5.024 6.232 7.291
angles (deg): 107.57 90.00 113.77
Last column: magnetic moment on the atom in μB.
Positions (direct):
Dy 0.344 0.688 0.904  0.23
Dy 0.656 0.312 0.096  0.23
Er 0.662 0.323 0.566  0.09
Er 0.338 0.677 0.434  0.09
Er 0.007 0.013 0.726  0.12
Er 0.993 0.987 0.274  0.12
C 0.167 0.334 0.584  0.02
C 0.833 0.666 0.416  0.02
C 0.497 0.994 0.237  0.03
C 0.503 0.006 0.763  0.03

Properties
Density of states at the Fermi level   2.37 states/eV/f.u.
M_tot   0.16 μB per atom
Space-group type   No. 12
Calculated total energy   -6.68 eV per atom


[2]
Density functional theory data (PBE-GGA) for a relaxed structure of Dy2ErC2.

a b c (Å): 5.097 6.274 7.281
angles (deg): 108.20 90.00 113.96
Last column: magnetic moment on the atom in μB.
Positions (direct):
Dy 0.663 0.326 0.570  0.09
Dy 0.337 0.674 0.430  0.09
Dy 0.007 0.014 0.730  0.12
Dy 0.993 0.986 0.270  0.12
Er 0.345 0.690 0.904  0.24
Er 0.655 0.310 0.096  0.24
C 0.168 0.336 0.590  0.02
C 0.832 0.664 0.410  0.02
C 0.498 0.996 0.237  0.02
C 0.502 0.004 0.763  0.02

Properties
Density of states at the Fermi level   2.37 states/eV/f.u.
M_tot   0.16 μB per atom
Space-group type   No. 12
Calculated total energy   -6.67 eV per atom


[3]
Density functional theory data (PBE-GGA) for a relaxed structure of DyEr3C8.

a b c (Å): 6.029 6.309 6.029
angles (deg): 65.15 83.08 114.85
Positions (direct):
Dy 0.995 0.000 0.005
Er 0.706 0.500 0.794
Er 0.206 0.500 0.294
Er 0.508 0.000 0.492
C 0.101 0.000 0.574
C 0.590 0.672 0.410
C 0.918 0.328 0.082
C 0.426 0.000 0.899
C 0.885 0.000 0.611
C 0.647 0.517 0.353
C 0.130 0.483 0.870
C 0.389 0.000 0.115

Properties
Density of states at the Fermi level   4.74 states/eV/f.u.
M_tot   0.00 μB per atom
Space-group type   No. 42
Calculated total energy   -7.55 eV per atom


[4]
Density functional theory data (PBE-GGA) for a relaxed structure of DyEr2GaC.

a b c (Å): 4.861 4.805 4.805
angles (deg): 90.00 90.00 90.00
Positions (direct):
Dy 0.500 0.000 0.000
Er 0.000 0.000 0.500
Er 0.000 0.500 0.000
Ga 0.500 0.500 0.500
C 0.000 0.000 0.000

Properties
Density of states at the Fermi level   1.56 states/eV/f.u.
M_tot   0.00 μB per atom
Space-group type   No. 123
Calculated total energy   -5.67 eV per atom


[5]
Density functional theory data (PBE-GGA) for a relaxed structure of Dy2ErGaC.

a b c (Å): 4.805 4.862 4.862
angles (deg): 90.00 90.00 90.00
Positions (direct):
Dy 0.000 0.000 0.500
Dy 0.000 0.500 0.000
Er 0.500 0.000 0.000
Ga 0.500 0.500 0.500
C 0.000 0.000 0.000

Properties
Density of states at the Fermi level   1.71 states/eV/f.u.
M_tot   0.00 μB per atom
Space-group type   No. 123
Calculated total energy   -5.67 eV per atom


[6]
Density functional theory data (PBE-GGA) for a relaxed structure of DyErHgC.

a b c (Å): 3.583 3.582 8.097
angles (deg): 90.00 102.80 119.99
Positions (direct):
Dy 0.523 0.159 0.697
Er 0.085 0.940 0.041
Hg 0.967 0.382 0.363
C 0.303 0.550 0.868

Properties
Density of states at the Fermi level   3.13 states/eV/f.u.
M_tot   0.00 μB per atom
Space-group type   No. 160
Calculated total energy   -5.07 eV per atom


no.,calculated density (g/cm3)
1,8.78
2,8.58
3,7.17
4,8.56
5,8.39
6,10.35